Material: UFe4Ge4
Method: DFT, GGA-PBE
State: optimized geometry

a b c (Å): 5.704 5.704 8.325
angles (deg): 90.00 90.00 90.00
Each line ends with the local moment (μB).
Element x y z (fractional)
U1 0.000 0.000 0.000  2.31
U2 0.500 0.500 0.500  2.31
Fe1 0.212 0.500 0.902  -1.62
Fe2 0.788 0.500 0.902  -1.62
Fe3 0.500 0.788 0.098  -1.62
Fe4 0.500 0.212 0.098  -1.62
Fe5 0.000 0.712 0.402  -1.62
Fe6 0.000 0.288 0.402  -1.62
Fe7 0.288 0.000 0.598  -1.62
Fe8 0.712 0.000 0.598  -1.62
Ge1 0.500 0.779 0.812  0.04
Ge2 0.500 0.221 0.812  0.04
Ge3 0.779 0.500 0.188  0.04
Ge4 0.221 0.500 0.188  0.04
Ge5 0.279 0.000 0.312  0.04
Ge6 0.721 0.000 0.312  0.04
Ge7 0.000 0.279 0.688  0.04
Ge8 0.000 0.721 0.688  0.04

Computed properties:
total moment: 3.74 μB/f.u.

Material: UFe12Ge6
Method: DFT, GGA-PBE
State: optimized geometry

a b c (Å): 6.739 6.739 6.739
angles (deg): 104.98 104.98 104.98
Each line ends with the local moment (μB).
Element x y z (fractional)
U1 0.000 0.000 0.000  -2.55
Fe1 0.888 0.112 0.500  1.93
Fe2 0.854 0.604 0.604  2.39
Fe3 0.604 0.604 0.854  2.39
Fe4 0.396 0.146 0.396  2.39
Fe5 0.396 0.396 0.146  2.39
Fe6 0.146 0.396 0.396  2.39
Fe7 0.112 0.500 0.888  1.93
Fe8 0.500 0.888 0.112  1.93
Fe9 0.112 0.888 0.500  1.93
Fe10 0.888 0.500 0.112  1.93
Fe11 0.500 0.112 0.888  1.93
Fe12 0.604 0.854 0.604  2.39
Ge1 0.717 0.266 0.266  -0.10
Ge2 0.266 0.266 0.717  -0.10
Ge3 0.266 0.717 0.266  -0.10
Ge4 0.734 0.734 0.283  -0.10
Ge5 0.283 0.734 0.734  -0.10
Ge6 0.734 0.283 0.734  -0.10

Computed properties:
total moment: 22.34 μB/f.u.

Material: UFe2Ge
Method: DFT, GGA-PBE
State: optimized geometry

a b c (Å): 4.373 4.373 4.373
angles (deg): 60.00 60.00 60.00
Each line ends with the local moment (μB).
Element x y z (fractional)
Ge1 0.500 0.500 0.500  -0.01
U1 0.000 0.000 0.000  1.29
Fe1 0.250 0.250 0.250  0.40
Fe2 0.750 0.750 0.750  0.40

Computed properties:
energy above the most stable polymorph in this dataset: 271 meV/atom
total moment: 2.15 μB/f.u.

Material: UFe2Ge
Method: DFT, GGA-PBE
State: optimized geometry

a b c (Å): 4.531 4.314 6.792
angles (deg): 90.00 112.15 90.00
Each line ends with the local moment (μB).
Element x y z (fractional)
U1 0.949 0.250 0.783  -0.58
U2 0.051 0.750 0.217  -0.58
Fe1 0.179 0.250 0.527  1.02
Fe2 0.821 0.750 0.473  1.02
Fe3 0.598 0.250 0.920  0.21
Fe4 0.402 0.750 0.080  0.21
Ge1 0.417 0.750 0.714  0.00
Ge2 0.583 0.250 0.286  0.00

Computed properties:
energy above the most stable polymorph in this dataset: 0 meV/atom
total moment: 0.65 μB/f.u.

Material: UZnFe2Ge4
Method: DFT, GGA-PBE
State: optimized geometry

a b c (Å): 3.664 3.664 10.517
angles (deg): 90.00 90.00 90.00
Each line ends with the local moment (μB).
Element x y z (fractional)
U1 0.000 0.000 0.000  2.23
Zn1 0.000 0.000 0.500  -0.05
Fe1 0.500 0.500 0.393  1.80
Fe2 0.500 0.500 0.607  1.80
Ge1 0.000 0.500 0.228  -0.07
Ge2 0.500 0.000 0.772  -0.07
Ge3 0.500 0.000 0.228  -0.07
Ge4 0.000 0.500 0.772  -0.07

Computed properties:
total moment: 5.83 μB/f.u.

Material: V3FeGe6
Method: DFT, GGA-PBE
State: optimized geometry

a b c (Å): 6.402 6.271 7.897
angles (deg): 90.00 86.64 90.00
Each line ends with the local moment (μB).
Element x y z (fractional)
V1 0.571 0.793 0.750  0.03
V2 0.500 0.500 0.000  0.70
V3 0.429 0.207 0.250  0.03
V4 0.071 0.707 0.250  0.03
V5 0.000 0.000 0.500  0.70
V6 0.929 0.293 0.750  0.03
Fe1 0.500 0.500 0.500  1.20
Fe2 0.000 0.000 0.000  1.20
Ge1 0.648 0.135 0.955  -0.02
Ge2 0.628 0.153 0.561  -0.01
Ge3 0.719 0.510 0.248  -0.02
Ge4 0.281 0.490 0.752  -0.02
Ge5 0.372 0.847 0.439  -0.01
Ge6 0.352 0.865 0.045  -0.02
Ge7 0.148 0.365 0.455  -0.02
Ge8 0.128 0.347 0.061  -0.01
Ge9 0.219 0.990 0.748  -0.02
Ge10 0.781 0.010 0.252  -0.02
Ge11 0.872 0.653 0.939  -0.01
Ge12 0.852 0.635 0.545  -0.02

Computed properties:
total moment: 1.99 μB/f.u.

Material: VFeGe4
Method: DFT, GGA-PBE
State: optimized geometry

a b c (Å): 5.949 5.949 6.686
angles (deg): 116.42 116.42 90.00
Each line ends with the local moment (μB).
Element x y z (fractional)
V1 0.250 0.250 0.500  0.57
V2 0.750 0.750 0.500  0.57
Fe1 0.500 0.500 0.000  0.81
Fe2 0.000 0.000 0.000  0.81
Ge1 0.468 0.968 0.244  -0.02
Ge2 0.968 0.776 0.244  -0.02
Ge3 0.276 0.468 0.244  -0.02
Ge4 0.724 0.532 0.756  -0.02
Ge5 0.032 0.224 0.756  -0.02
Ge6 0.532 0.032 0.756  -0.02
Ge7 0.224 0.724 0.756  -0.02
Ge8 0.776 0.276 0.244  -0.02

Computed properties:
total moment: 1.28 μB/f.u.

Material: VFe14Ge
Method: DFT, GGA-PBE
State: optimized geometry

a b c (Å): 4.943 4.943 8.058
angles (deg): 90.00 90.00 109.09
Each line ends with the local moment (μB).
Element x y z (fractional)
V1 0.125 0.875 0.500  -1.21
Fe1 0.125 0.875 0.000  2.36
Fe2 0.625 0.375 0.000  2.47
Fe3 0.125 0.375 0.500  1.85
Fe4 0.125 0.375 0.000  2.27
Fe5 0.625 0.875 0.500  1.85
Fe6 0.625 0.875 0.000  2.27
Fe7 0.373 0.123 0.753  2.10
Fe8 0.373 0.123 0.247  2.10
Fe9 0.877 0.627 0.753  2.10
Fe10 0.877 0.627 0.247  2.10
Fe11 0.376 0.624 0.751  2.39
Fe12 0.376 0.624 0.249  2.39
Fe13 0.874 0.126 0.751  2.39
Fe14 0.874 0.126 0.249  2.39
Ge1 0.625 0.375 0.500  -0.10

Computed properties:
total moment: 29.21 μB/f.u.

Material: VFeGe2
Method: DFT, GGA-PBE
State: optimized geometry

a b c (Å): 3.555 3.555 5.968
angles (deg): 72.67 72.67 60.00
Each line ends with the local moment (μB).
Element x y z (fractional)
V1 0.671 0.671 0.988  0.89
Fe1 0.496 0.496 0.511  1.83
Ge1 0.087 0.087 0.738  -0.08
Ge2 0.246 0.246 0.262  -0.08

Computed properties:
total moment: 2.61 μB/f.u.

Material: V12FeGe7
Method: DFT, GGA-PBE
State: optimized geometry

a b c (Å): 6.680 6.680 6.680
angles (deg): 92.48 92.48 92.48
Each line ends with the local moment (μB).
Element x y z (fractional)
V1 0.872 0.266 0.753  0.05
V2 0.734 0.247 0.128  0.05
V3 0.607 0.152 0.478  -0.06
V4 0.848 0.522 0.393  -0.06
V5 0.247 0.128 0.734  0.05
V6 0.522 0.393 0.848  -0.06
V7 0.478 0.607 0.152  -0.06
V8 0.753 0.872 0.266  0.05
V9 0.152 0.478 0.607  -0.06
V10 0.393 0.848 0.522  -0.06
V11 0.266 0.753 0.872  0.05
V12 0.128 0.734 0.247  0.05
Fe1 0.000 0.000 0.000  2.00
Ge1 0.834 0.609 0.993  0.00
Ge2 0.391 0.007 0.166  0.00
Ge3 0.007 0.166 0.391  0.00
Ge4 0.500 0.500 0.500  0.00
Ge5 0.993 0.834 0.609  0.00
Ge6 0.609 0.993 0.834  0.00
Ge7 0.166 0.391 0.007  0.00

Computed properties:
total moment: 1.88 μB/f.u.

Material: V12FeGe3
Method: DFT, GGA-PBE
State: optimized geometry

a b c (Å): 4.729 4.719 9.476
angles (deg): 90.00 90.00 90.00
Element x y z (fractional)
V1 0.500 0.000 0.383
V2 0.500 0.000 0.870
V3 0.744 0.500 0.000
V4 0.756 0.500 0.500
V5 0.000 0.755 0.257
V6 0.000 0.755 0.743
V7 0.500 0.000 0.130
V8 0.500 0.000 0.617
V9 0.256 0.500 0.000
V10 0.244 0.500 0.500
V11 0.000 0.245 0.257
V12 0.000 0.245 0.743
Fe1 0.000 0.000 0.500
Ge1 0.500 0.500 0.249
Ge2 0.500 0.500 0.751
Ge3 0.000 0.000 0.000

Computed properties:
total moment: 0.00 μB/f.u.

Material: VFe3Ge3
Method: DFT, GGA-PBE
State: optimized geometry

a b c (Å): 4.393 6.920 6.920
angles (deg): 120.00 90.00 90.00
Element x y z (fractional)
V1 0.250 0.667 0.333
V2 0.750 0.333 0.667
Fe1 0.750 0.906 0.361
Fe2 0.750 0.455 0.094
Fe3 0.250 0.361 0.455
Fe4 0.750 0.639 0.545
Fe5 0.250 0.545 0.906
Fe6 0.250 0.094 0.639
Ge1 0.750 0.725 0.965
Ge2 0.750 0.240 0.275
Ge3 0.250 0.965 0.240
Ge4 0.750 0.035 0.760
Ge5 0.250 0.760 0.725
Ge6 0.250 0.275 0.035

Computed properties:
total moment: 0.00 μB/f.u.

Material: V12FeGe6
Method: DFT, GGA-PBE
State: optimized geometry

a b c (Å): 7.096 7.096 7.096
angles (deg): 110.72 110.72 110.72
Each line ends with the local moment (μB).
Element x y z (fractional)
V1 0.797 0.679 0.533  0.06
V2 0.533 0.797 0.679  0.06
V3 0.679 0.533 0.797  0.06
V4 0.203 0.321 0.467  0.06
V5 0.467 0.203 0.321  0.06
V6 0.321 0.467 0.203  0.06
V7 0.895 0.819 0.260  -0.09
V8 0.181 0.740 0.105  -0.09
V9 0.740 0.105 0.181  -0.09
V10 0.105 0.181 0.740  -0.09
V11 0.819 0.260 0.895  -0.09
V12 0.260 0.895 0.819  -0.09
Fe1 0.000 0.000 0.000  1.85
Ge1 0.641 0.929 0.421  0.00
Ge2 0.579 0.359 0.071  0.00
Ge3 0.071 0.579 0.359  0.00
Ge4 0.359 0.071 0.579  0.00
Ge5 0.421 0.641 0.929  0.00
Ge6 0.929 0.421 0.641  0.00

Computed properties:
total moment: 1.63 μB/f.u.

Material: V6Fe3Ge
Method: DFT, GGA-PBE
State: optimized geometry

a b c (Å): 5.107 7.178 7.178
angles (deg): 86.89 90.00 90.00
Element x y z (fractional)
V1 0.252 0.725 0.545
V2 0.752 0.545 0.725
V3 0.243 0.536 0.923
V4 0.743 0.923 0.536
V5 0.251 0.005 0.995
V6 0.501 0.221 0.779
V7 0.001 0.779 0.221
V8 0.751 0.995 0.005
V9 0.243 0.077 0.464
V10 0.743 0.464 0.077
V11 0.252 0.455 0.275
V12 0.752 0.275 0.455
Fe1 0.500 0.808 0.804
Fe2 0.000 0.804 0.808
Fe3 0.256 0.413 0.587
Fe4 0.756 0.587 0.413
Fe5 0.000 0.192 0.196
Fe6 0.500 0.196 0.192
Ge1 0.987 0.221 0.779
Ge2 0.487 0.779 0.221

Computed properties:
total moment: 0.00 μB/f.u.

Material: V2Fe7Ge2
Method: DFT, GGA-PBE
State: optimized geometry

a b c (Å): 4.689 6.316 6.316
angles (deg): 81.56 120.18 120.18
Each line ends with the local moment (μB).
Element x y z (fractional)
V1 0.967 0.254 0.254  -1.03
V2 0.033 0.746 0.746  -1.03
Fe1 0.175 0.910 0.421  1.79
Fe2 0.825 0.579 0.090  1.79
Fe3 0.825 0.090 0.579  1.79
Fe4 0.175 0.421 0.910  1.79
Fe5 0.000 0.000 0.000  2.55
Fe6 0.626 0.400 0.400  1.98
Fe7 0.374 0.600 0.600  1.98
Ge1 0.500 0.237 0.763  -0.01
Ge2 0.500 0.763 0.237  -0.01

Computed properties:
total moment: 11.37 μB/f.u.

Material: V12Fe6Ge
Method: DFT, GGA-PBE
State: optimized geometry

a b c (Å): 6.716 6.716 6.716
angles (deg): 107.86 107.86 107.86
Element x y z (fractional)
V1 0.883 0.672 0.593
V2 0.593 0.883 0.672
V3 0.672 0.593 0.883
V4 0.117 0.328 0.407
V5 0.407 0.117 0.328
V6 0.328 0.407 0.117
V7 0.998 0.860 0.318
V8 0.140 0.682 0.002
V9 0.682 0.002 0.140
V10 0.002 0.140 0.682
V11 0.860 0.318 0.998
V12 0.318 0.998 0.860
Fe1 0.589 0.781 0.311
Fe2 0.689 0.411 0.219
Fe3 0.219 0.689 0.411
Fe4 0.411 0.219 0.689
Fe5 0.311 0.589 0.781
Fe6 0.781 0.311 0.589
Ge1 0.000 0.000 0.000

Computed properties:
total moment: 0.00 μB/f.u.

Material: VFeGe2
Method: DFT, GGA-PBE
State: optimized geometry

a b c (Å): 2.997 4.930 8.071
angles (deg): 72.16 79.33 90.07
Each line ends with the local moment (μB).
Element x y z (fractional)
V1 0.220 0.204 0.728  0.23
V2 0.720 0.704 0.728  0.23
Fe1 0.970 0.954 0.228  1.72
Fe2 0.469 0.454 0.228  1.72
Ge1 0.587 0.912 0.991  -0.04
Ge2 0.852 0.495 0.465  -0.04
Ge3 0.087 0.412 0.991  -0.04
Ge4 0.352 0.995 0.465  -0.04

Computed properties:
total moment: 1.87 μB/f.u.

Material: VFeGe2
Method: DFT, GGA-PBE
State: optimized geometry

a b c (Å): 4.244 4.244 4.244
angles (deg): 60.00 60.00 60.00
Each line ends with the local moment (μB).
Element x y z (fractional)
Ge1 0.250 0.250 0.250  -0.03
Ge2 0.750 0.750 0.750  -0.03
Fe1 0.500 0.500 0.500  0.86
V1 0.000 0.000 0.000  1.65

Computed properties:
total moment: 2.64 μB/f.u.

Material: V2Fe3Ge
Method: DFT, GGA-PBE
State: optimized geometry

a b c (Å): 4.850 4.850 8.374
angles (deg): 115.58 115.58 60.60
Each line ends with the local moment (μB).
Element x y z (fractional)
V1 0.750 0.250 0.500  -0.45
V2 0.753 0.247 0.000  -0.54
V3 0.250 0.750 0.500  -0.45
V4 0.247 0.753 0.000  -0.54
Fe1 0.831 0.831 0.166  2.04
Fe2 0.665 0.665 0.834  2.04
Fe3 0.169 0.169 0.834  2.04
Fe4 0.335 0.335 0.166  2.04
Fe5 0.160 0.160 0.319  1.42
Fe6 0.840 0.840 0.681  1.42
Ge1 0.670 0.670 0.339  -0.02
Ge2 0.330 0.330 0.661  -0.02

Computed properties:
total moment: 4.41 μB/f.u.

Material: VFeGe2
Method: DFT, GGA-PBE
State: optimized geometry

a b c (Å): 2.806 2.806 9.129
angles (deg): 81.16 81.16 60.00
Each line ends with the local moment (μB).
Element x y z (fractional)
Ge1 0.090 0.090 0.731  -0.02
Ge2 0.910 0.910 0.269  -0.02
Fe1 0.000 0.000 0.000  2.50
V1 0.500 0.500 0.500  -0.13

Computed properties:
total moment: 2.30 μB/f.u.

Number 1: E_form -19 meV per atom. Number 2: E_form 56 meV per atom. Number 3: E_form -46 meV per atom. Number 4: E_form -318 meV per atom. Number 5: E_form 231 meV per atom. Number 6: E_form 22 meV per atom. Number 7: E_form -23 meV per atom. Number 8: E_form -54 meV per atom. Number 9: E_form 82 meV per atom. Number 10: E_form 66 meV per atom. Number 11: E_form -293 meV per atom. Number 12: E_form 99 meV per atom. Number 13: E_form -123 meV per atom. Number 14: E_form 76 meV per atom. Number 15: E_form 20 meV per atom. Number 16: E_form 67 meV per atom. Number 17: E_form -97 meV per atom. Number 18: E_form 25 meV per atom. Number 19: E_form -70 meV per atom. Number 20: E_form 241 meV per atom.